--- w ---
# PBE HPbSe2N, optimized geometry
data_HPbSe2N
_space_group_name_H-M_alt 'P 1'
_space_group_IT_number 1
_cell_length_a 3.9020
_cell_length_b 3.9020
_cell_length_c 6.1283
_cell_angle_alpha 90.00
_cell_angle_beta 90.00
_cell_angle_gamma 90.00
loop_
_space_group_symop_operation_xyz
'x,y,z'
loop_
_atom_site_label
_atom_site_fract_x
_atom_site_fract_y
_atom_site_fract_z
H1 0.0000 0.0000 0.0000
Pb1 0.5000 0.5000 0.5000
Se1 0.0000 0.5000 0.0000
Se2 0.5000 0.0000 0.0000
N1 0.0000 0.0000 0.5000
# * ρ: 6765 kg/m3
# * space-group type: No. 123

***

--- x ---
# PBE HPbSe2N, optimized geometry
data_HPbSe2N
_space_group_name_H-M_alt 'P 1'
_space_group_IT_number 1
_cell_length_a 5.6345
_cell_length_b 5.6345
_cell_length_c 4.5568
_cell_angle_alpha 90.00
_cell_angle_beta 90.00
_cell_angle_gamma 90.00
loop_
_space_group_symop_operation_xyz
'x,y,z'
loop_
_atom_site_label
_atom_site_fract_x
_atom_site_fract_y
_atom_site_fract_z
H1 0.0000 0.0000 0.0000
Pb1 0.5000 0.5000 0.5000
Se1 0.0000 0.5000 0.5000
Se2 0.5000 0.0000 0.5000
N1 0.5000 0.5000 0.0000
# * ρ: 4363 kg/m3
# * space-group type: No. 123

***

It is w that is most stable; the runner-up trails by 60.6 kJ/mol of atoms.